VASP calculation (GGA-PBEsol) on a relaxed structure of Zr2FeP.

```
Zr2FeP
1.0
3.341 0.000 0.000
0.000 3.341 0.000
0.000 0.000 5.788
Zr Fe P
2 1 1
Direct
0.000 0.000 0.248
0.000 0.000 0.752
0.500 0.500 0.500
0.500 0.500 0.000
```

Values from the calculation:
Spin magnetization = 0.3712 μB/atom
DFT total energy = -8.821 eV per atom
DFT formation energy = -587 meV per atom
Crystal system = tetragonal
Mass density = 6.9 g cm⁻³